Entry from Alexandria via LeMat-Bulk: AlInRe2 after structural relaxation (GGA-PBE).

Output
**ΔE to the lowest computed polymorph**: 259 meV per atom
**Symmetry**: Pmmm, No. 47
**Density of states at the Fermi level**: 3.4 states/eV/cell

a = 2.8657 Å, b = 3.9759 Å, c = 5.9525 Å
α = 90.00°, β = 90.00°, γ = 90.00°
Last column: nearest neighbours and their distance in Å.
Fractional coordinates of all 4 atoms:
Re 0.0000 0.0000 0.4497  1 Re 2.38
Re 0.0000 0.0000 0.0503  1 Re 2.38
Al 0.5000 0.5000 0.2500  8 Re 2.72, 2 Al 2.87, 2 In 2.98
In 0.5000 0.5000 0.7500  2 In 2.87, 2 Al 2.98, 8 Re 3.03


Entry from Alexandria via LeMat-Bulk: LaMo2BrCl after structural relaxation (GGA-PBE).

Output
**Symmetry**: P4/mmm, No. 123
**Energy relative to the elements, uncorrected**: 352 kJ/mol of formula units
**Density of states at the Fermi level**: 7.2 states/eV/cell

a = 4.5883 Å, b = 6.1507 Å, c = 4.5883 Å
α = 90.00°, β = 90.00°, γ = 90.00°
Last column: nearest neighbours and their distance in Å.
Fractional coordinates of all 5 atoms:
Mo 0.0000 0.0000 0.5000  2 Br 2.29
Mo 0.5000 0.0000 0.0000  2 Br 2.29
La 0.5000 0.5000 0.5000  4 Cl 3.24
Cl 0.0000 0.5000 0.0000  2 Br 3.08, 4 La 3.24
Br 0.0000 0.0000 0.0000  4 Mo 2.29


Entry from Alexandria via LeMat-Bulk: LiCaSe after structural relaxation (GGA-PBE).

Output
**ΔE to the lowest computed polymorph**: 461 meV per atom
**Symmetry**: F-43m, No. 216
**Energy relative to the elements, uncorrected**: -194 kJ/mol of formula units
**Density of states at the Fermi level**: 1.8 states/eV/cell

a = 4.8543 Å, b = 4.8543 Å, c = 4.8543 Å
α = 60.00°, β = 60.00°, γ = 60.00°
Last column: nearest neighbours and their distance in Å.
Fractional coordinates of all 3 atoms:
Ca 0.7500 0.7500 0.7500  4 Se 2.97, 4 Li 2.97
Li 0.0000 0.0000 0.0000  4 Ca 2.97
Se 0.5000 0.5000 0.5000  4 Ca 2.97


Entry from Alexandria via LeMat-Bulk: NdTl2Cd after structural relaxation (GGA-PBE).

Output
**ΔE to the lowest computed polymorph**: 0 meV per atom
**Symmetry**: P4/mmm, No. 123
**Density of states at the Fermi level**: 2.6 states/eV/cell

a = 4.6788 Å, b = 4.8108 Å, c = 4.8108 Å
α = 90.00°, β = 90.00°, γ = 90.00°
Last column: nearest neighbours and their distance in Å.
Fractional coordinates of all 4 atoms:
Tl 0.0000 0.0000 0.5000  4 Cd 3.36, 4 Nd 3.36, 4 Tl 3.40
Tl 0.0000 0.5000 0.0000  4 Cd 3.36, 4 Nd 3.36, 4 Tl 3.40
Nd 0.5000 0.5000 0.5000  8 Tl 3.36, 4 Cd 3.40
Cd 0.5000 0.0000 0.0000  8 Tl 3.36, 4 Nd 3.40


Entry from Alexandria via LeMat-Bulk: Rb2P2Au after structural relaxation (GGA-PBE).

Output
**Energy**: -3.25 eV per atom
**Symmetry**: I4/mmm, No. 139
**Density of states at the Fermi level**: 1.2 states/eV/cell

a = 3.5883 Å, b = 3.5883 Å, c = 10.9058 Å
α = 80.53°, β = 80.53°, γ = 90.00°
Last column: nearest neighbours and their distance in Å.
Fractional coordinates of all 5 atoms:
P 0.2500 0.7500 0.5000  4 P 2.54
P 0.7500 0.2500 0.5000  4 P 2.54
Au 0.0000 0.0000 0.0000  8 Rb 3.46, 4 Au 3.59
Rb 0.6108 0.6108 0.7785  4 P 3.46, 4 Au 3.46, 4 Rb 3.59
Rb 0.3892 0.3892 0.2215  4 P 3.46, 4 Au 3.46, 4 Rb 3.59


Entry from Alexandria via LeMat-Bulk: La2DyY5 after structural relaxation (GGA-PBE).

Output
**ΔE to the lowest computed polymorph**: 16 meV per atom
**Symmetry**: C2/c, No. 15
**Density of states at the Fermi level**: 25.7 states/eV/cell

a = 9.9768 Å, b = 6.7115 Å, c = 10.8381 Å
α = 119.80°, β = 117.40°, γ = 90.00°
Last column: nearest neighbours and their distance in Å.
Fractional coordinates of all 16 atoms:
La 0.6717 0.9595 0.8440  1 Dy 3.01, 2 Y 3.14-3.34, 1 La 3.33
La 0.8276 0.5405 0.1560  1 Dy 3.01, 2 Y 3.14-3.34, 1 La 3.33
La 0.1724 0.4595 0.8440  1 Dy 3.01, 2 Y 3.14-3.34, 1 La 3.33
La 0.3283 0.0405 0.1560  1 Dy 3.01, 2 Y 3.14-3.34, 1 La 3.33
Y 0.9315 0.7500 0.0000  2 La 3.14
Y 0.4808 0.4514 0.7959  3 La 3.34-3.58, 1 Dy 3.47, 4 Y 3.66-3.74
Y 0.5192 0.5486 0.2041  3 La 3.34-3.58, 1 Dy 3.47, 4 Y 3.66-3.74
Y 0.3152 0.9514 0.7959  3 La 3.34-3.58, 1 Dy 3.47, 4 Y 3.66-3.74
Y 0.1087 0.3642 0.3960  2 Dy 3.50, 1 La 3.52, 7 Y 3.66-3.80
Y 0.0685 0.2500 0.0000  2 La 3.14
Y 0.6848 0.0486 0.2041  3 La 3.34-3.58, 1 Dy 3.47, 4 Y 3.66-3.74
Y 0.7127 0.1358 0.6040  2 Dy 3.50, 1 La 3.52, 7 Y 3.66-3.80
Y 0.2873 0.8642 0.3960  2 Dy 3.50, 1 La 3.52, 7 Y 3.66-3.80
Y 0.8913 0.6358 0.6040  2 Dy 3.50, 1 La 3.52, 7 Y 3.66-3.80
Dy 0.5000 0.5000 0.5000  2 La 3.01
Dy 0.0000 0.0000 0.5000  2 La 3.01


Entry from Alexandria via LeMat-Bulk: Al2Cu2Si after structural relaxation (GGA-PBE).

Output
**ΔE to the lowest computed polymorph**: 185 meV per atom
**Symmetry**: P4/nmm, No. 129
**Energy relative to the elements, uncorrected**: 86 kJ/mol of formula units
**Density of states at the Fermi level**: 4.0 states/eV/cell

a = 3.6212 Å, b = 3.6212 Å, c = 11.7741 Å
α = 90.00°, β = 90.00°, γ = 90.00°
Last column: nearest neighbours and their distance in Å.
Fractional coordinates of all 10 atoms:
Al 0.5000 0.0000 0.1525  5 Cu 2.38-2.55
Al 0.0000 0.0000 0.5000  4 Cu 2.49, 4 Al 2.56
Al 0.0000 0.5000 0.8475  5 Cu 2.38-2.55
Al 0.5000 0.5000 0.5000  4 Cu 2.49, 4 Al 2.56
Si 0.5000 0.0000 0.7181  4 Cu 2.70, 4 Al 2.98
Si 0.0000 0.5000 0.2819  4 Cu 2.70, 4 Al 2.98
Cu 0.5000 0.5000 0.0000  4 Al 2.55, 4 Cu 2.56
Cu 0.0000 0.0000 0.0000  4 Al 2.55, 4 Cu 2.56
Cu 0.0000 0.5000 0.6455  5 Al 2.38-2.49
Cu 0.5000 0.0000 0.3545  5 Al 2.38-2.49


Entry from Alexandria via LeMat-Bulk: SnGeB2 after structural relaxation (GGA-PBE).

Output
**ΔE to the lowest computed polymorph**: 773 meV per atom
**Symmetry**: Fm-3m, No. 225
**Density of states at the Fermi level**: 1.9 states/eV/cell

a = 4.3607 Å, b = 4.3607 Å, c = 4.3607 Å
α = 60.00°, β = 60.00°, γ = 60.00°
Last column: nearest neighbours and their distance in Å.
Fractional coordinates of all 4 atoms:
Ge 0.0000 0.0000 0.0000  8 B 2.67
Sn 0.5000 0.5000 0.5000  8 B 2.67
B 0.2500 0.2500 0.2500  4 Ge 2.67, 4 Sn 2.67
B 0.7500 0.7500 0.7500  4 Ge 2.67, 4 Sn 2.67


Entry from Alexandria via LeMat-Bulk: Ba2TaP after structural relaxation (GGA-PBE).

Output
**Energy**: -4.67 eV per atom
**Symmetry**: Cmmm, No. 65
**Density of states at the Fermi level**: 3.4 states/eV/cell

a = 7.6925 Å, b = 5.9352 Å, c = 3.3596 Å
α = 89.95°, β = 64.18°, γ = 121.65°
Last column: nearest neighbours and their distance in Å.
Fractional coordinates of all 4 atoms:
Ba 0.0000 0.0000 0.0000  4 Ba 3.36-3.46, 4 Ta 3.41, 4 P 3.41
Ba 0.5000 0.0000 0.5000  4 Ba 3.36-3.46, 4 P 3.41, 4 Ta 3.41
Ta 0.5000 0.5000 0.0000  2 Ta 3.36, 8 Ba 3.41, 2 P 3.46
P 0.0000 0.5000 0.5000  2 P 3.36, 8 Ba 3.41, 2 Ta 3.46


Entry from Alexandria via LeMat-Bulk: Sm3Ho3Au4 after structural relaxation (GGA-PBE).

Output
**Energy**: -4.78 eV per atom
**Symmetry**: Amm2, No. 38
**Density of states at the Fermi level**: 11.1 states/eV/cell

a = 3.8411 Å, b = 8.2362 Å, c = 8.2362 Å
α = 88.94°, β = 90.00°, γ = 90.00°
Last column: nearest neighbours and their distance in Å.
Fractional coordinates of all 10 atoms:
Sm 0.5000 0.6616 0.6683  6 Au 3.08-3.14
Sm 0.5000 0.8386 0.1614  6 Au 3.07-3.12
Sm 0.5000 0.3317 0.3384  6 Au 3.08-3.14
Au 0.0000 0.6309 0.3691  6 Sm 3.07-3.14, 1 Au 3.08, 2 Ho 3.22
Au 0.0000 0.8753 0.8641  1 Au 3.06, 4 Sm 3.08-3.12, 4 Ho 3.08-3.29
Au 0.0000 0.1359 0.1247  1 Au 3.06, 4 Sm 3.08-3.12, 4 Ho 3.08-3.29
Au 0.0000 0.3638 0.6362  4 Ho 2.98-3.24, 1 Au 3.08, 4 Sm 3.13
Ho 0.0000 0.9969 0.5014  4 Au 3.13-3.29
Ho 0.5000 0.1668 0.8332  6 Au 2.98-3.08
Ho 0.0000 0.4986 0.0031  4 Au 3.13-3.29


Entry from Alexandria via LeMat-Bulk: IrSF2 after structural relaxation (GGA-PBE).

Output
**ΔE to the lowest computed polymorph**: 985 meV per atom
**Symmetry**: Fm-3m, No. 225
**Energy relative to the elements, uncorrected**: 206 kJ/mol of formula units
**Density of states at the Fermi level**: 4.9 states/eV/cell

a = 4.1484 Å, b = 4.1484 Å, c = 4.1484 Å
α = 60.00°, β = 60.00°, γ = 60.00°
Last column: nearest neighbours and their distance in Å.
Fractional coordinates of all 4 atoms:
F 0.7500 0.7500 0.7500  4 S 2.54, 4 Ir 2.54
F 0.2500 0.2500 0.2500  4 S 2.54, 4 Ir 2.54
S 0.0000 0.0000 0.0000  8 F 2.54
Ir 0.5000 0.5000 0.5000  8 F 2.54


Entry from Alexandria via LeMat-Bulk: Zn3Rh2Au after structural relaxation (GGA-PBE).

Output
**ΔE to the lowest computed polymorph**: 0 meV per atom
**Symmetry**: P4/mmm, No. 123
**Density of states at the Fermi level**: 2.0 states/eV/cell

a = 3.1199 Å, b = 3.1199 Å, c = 8.9736 Å
α = 90.00°, β = 90.00°, γ = 90.00°
Last column: nearest neighbours and their distance in Å.
Fractional coordinates of all 6 atoms:
Zn 0.0000 0.0000 0.0000  8 Rh 2.65, 2 Zn 2.82
Zn 0.0000 0.0000 0.6853  4 Rh 2.59, 4 Au 2.76, 1 Zn 2.82
Zn 0.0000 0.0000 0.3147  4 Rh 2.59, 4 Au 2.76, 1 Zn 2.82
Rh 0.5000 0.5000 0.8355  8 Zn 2.59-2.65
Rh 0.5000 0.5000 0.1645  8 Zn 2.59-2.65
Au 0.5000 0.5000 0.5000  8 Zn 2.76, 2 Rh 3.01